No. 1
# Rb5AlO4

An optimized crystal structure of Rb5AlO4 (PBE, Alexandria via LeMat-Bulk).

The structure belongs to space group Pmmn (No. 59, origin choice 2); the cell edges are 7.862, 8.760 and 6.633 Å and the angles 90.00°, 90.00° and 90.00°. Symmetry generates all atoms from Rb at (0.012, 0.059, 0.236), Rb at (0.250, 0.750, 0.363), Al at (0.250, 0.250, 0.705), O at (0.054, 0.250, 0.857) and O at (0.250, 0.074, 0.552).

The formation energy (no corrections) comes out at -1550 meV/atom.

=====

No. 2
# AcHgRh

An optimized crystal structure of AcHgRh (PBE, Alexandria via LeMat-Bulk).

The structure belongs to space group F-43m (No. 216); the cell edges are 6.943, 6.943 and 6.943 Å and the angles 90.00°, 90.00° and 90.00°. Symmetry generates all atoms from Ac at (0.000, 0.000, 0.000), Hg at (0.000, 0.000, 0.500) and Rh at (0.250, 0.250, 0.750).

The offset from the most stable computed form is 118 meV/atom. For the formation energy, the calculation gives -0.477 eV/atom.

=====

No. 3
# NaCoGe3

An optimized crystal structure of NaCoGe3 (PBE, Alexandria via LeMat-Bulk).

The structure belongs to space group Pnma (No. 62); the cell edges are 7.905, 4.009 and 10.987 Å and the angles 90.00°, 90.00° and 90.00°. Symmetry generates all atoms from Na at (0.173, 0.250, 0.000), Co at (0.092, 0.250, 0.352), Ge at (0.064, 0.250, 0.577), Ge at (0.122, 0.750, 0.795) and Ge at (0.134, 0.750, 0.215).

The offset from the most stable computed form is 0 meV/atom. For the formation energy, the calculation gives -0.086 eV/atom.

=====

No. 4
# Ni2S3Br

An optimized crystal structure of Ni2S3Br (PBE, Alexandria via LeMat-Bulk).

The structure belongs to space group P-3m1 (No. 164); the cell edges are 6.8917, 6.8917 and 5.4836 Å and the angles 90.00°, 90.00° and 120.00°. Symmetry generates all atoms from Ni at (0.0000, 0.0000, 0.0000), Ni at (0.0000, 0.5000, 0.0000), S at (0.1702, 0.3404, 0.8125) and Br at (0.3333, 0.6667, 0.3364).

The formation energy (no corrections) comes out at -197 meV/atom.

=====

No. 5
# SrCaMg6

An optimized crystal structure of SrCaMg6 (PBE, Alexandria via LeMat-Bulk).

The structure belongs to space group Amm2 (No. 38); the cell edges are 5.361, 7.973 and 10.958 Å and the angles 90.00°, 90.00° and 90.00°. Symmetry generates all atoms from Sr at (0.000, 0.000, 0.000), Ca at (0.000, 0.000, 0.571), Mg at (0.000, 0.194, 0.290), Mg at (0.500, 0.000, 0.215), Mg at (0.500, 0.000, 0.762) and Mg at (0.500, 0.210, 0.473).

The offset from the most stable computed form is 66 meV/atom. For the formation energy, the calculation gives 0.034 eV/atom.

=====

No. 6
# SmEuHgGe

An optimized crystal structure of SmEuHgGe (PBE, Alexandria via LeMat-Bulk).

The structure belongs to space group F-43m (No. 216); the cell edges are 7.517, 7.517 and 7.517 Å and the angles 90.00°, 90.00° and 90.00°. Symmetry generates all atoms from Sm at (0.000, 0.000, 0.000), Eu at (0.000, 0.000, 0.500), Hg at (0.250, 0.250, 0.750) and Ge at (0.250, 0.250, 0.250).

For the formation energy, the calculation gives -0.558 eV/atom.

=====

No. 7
# PrNdGaNi

An optimized crystal structure of PrNdGaNi (PBE, Alexandria via LeMat-Bulk).

The structure belongs to space group Amm2 (No. 38); the cell edges are 4.382, 3.938 and 11.359 Å and the angles 90.00°, 90.00° and 90.00°. Symmetry generates all atoms from Pr at (0.000, 0.000, 0.000), Nd at (0.500, 0.000, 0.718), Ga at (0.500, 0.000, 0.424) and Ni at (0.000, 0.000, 0.297).

The offset from the most stable computed form is 0 meV/atom. For the formation energy, the calculation gives -0.399 eV/atom.

=====

No. 8
# LaNd2Pb9

An optimized crystal structure of LaNd2Pb9 (PBE, Alexandria via LeMat-Bulk).

The structure belongs to space group P4/mmm (No. 123); the cell edges are 4.944, 4.944 and 14.810 Å and the angles 90.00°, 90.00° and 90.00°. Symmetry generates all atoms from La at (0.000, 0.000, 0.000), Nd at (0.000, 0.000, 0.333), Pb at (0.000, 0.500, 0.168), Pb at (0.000, 0.500, 0.500), Pb at (0.500, 0.500, 0.000) and Pb at (0.500, 0.500, 0.334).

For the formation energy, the calculation gives -0.398 eV/atom.